No. 1
A relaxed structure of LiNpNi4. Source: Alexandria via LeMat-Bulk, functional PBE-GGA.

```
LiNpNi4
1.0
4.875 0.000 0.000
2.437 4.222 0.000
2.437 1.407 3.980
Ni Np Li
4 1 1
Cartesian
4.875 1.416 2.484
6.086 3.514 2.484
3.664 3.514 2.484
4.875 2.814 0.507
0.000 0.000 0.000
2.437 1.407 0.995
```

## Properties
* V: 13.65 Å³/atom
* total magnetization: 2.4 μB/cell
* DFT formation energy: -0.121 eV/atom

***

No. 2
A relaxed structure of NdHo5Mg4. Source: Alexandria via LeMat-Bulk, functional PBE-GGA.

```
NdHo5Mg4
1.0
-0.877 3.609 -0.321
-3.091 -0.573 2.003
10.297 4.016 17.043
Mg Ho Nd
4 5 1
Cartesian
2.235 0.872 3.699
6.126 2.389 10.139
8.063 3.144 13.344
4.171 1.627 6.903
5.108 4.284 12.579
7.064 5.047 15.817
1.221 2.768 6.146
-0.735 2.005 2.908
3.164 3.526 9.362
0.000 0.000 0.000
```

## Properties
* V: 28.23 Å³/atom
* total magnetization: 0.0 μB/cell
* DFT formation energy: -0.048 eV/atom

***

No. 3
A relaxed structure of Li2Pr2Co15. Source: Alexandria via LeMat-Bulk, functional PBE-GGA.

```
Li2Pr2Co15
1.0
6.296 -0.071 0.743
0.652 6.263 0.743
-0.080 -0.071 6.339
Co Pr Li
15 2 2
Cartesian
2.692 5.245 3.067
-0.040 -0.036 3.170
2.275 4.442 0.743
0.442 4.442 2.352
4.543 4.048 1.954
4.463 -0.071 2.352
5.520 2.072 3.067
3.148 -0.036 0.371
1.753 -0.071 4.730
0.326 3.131 0.371
1.348 4.048 4.758
4.674 1.750 0.743
0.130 1.750 4.730
4.176 0.875 4.758
2.325 2.072 5.871
2.358 2.101 2.687
4.510 4.019 5.139
6.212 5.535 7.078
0.656 0.585 0.748
```

## Properties
* V: 13.21 Å³/atom
* total magnetization: 21.1 μB/cell
* DFT formation energy: -0.017 eV/atom

***

No. 4
A relaxed structure of Y2Zn2Se. Source: Alexandria via LeMat-Bulk, functional PBE-GGA.

```
Y2Zn2Se
1.0
-7.483 -0.676 -0.108
0.681 -7.212 -1.997
0.045 -1.197 4.337
Zn Se Y
4 2 4
Cartesian
-0.454 -5.152 0.917
-2.738 -1.722 1.888
-4.019 -7.363 0.344
-6.302 -3.933 1.315
0.000 0.000 0.000
-3.401 -3.944 -1.053
-4.905 -1.688 -0.414
-1.896 -6.200 -1.691
-1.057 -2.487 -0.675
-5.745 -5.401 -1.430
```

## Properties
* polymorph energy (0 for the lowest one): 304 meV per atom
* V: 25.41 Å³/atom
* total magnetization: 0.0 μB/cell

***

no.,ρ (g/cm3)
1,9.71
2,6.27
3,7.81
4,5.07